InAgTe3Pt: optimized geometry, GGA-PBE.

Geometry as POSCAR:
```
InAgTe3Pt
1.0
2.0454 -6.5229 0.0000
2.0454 6.5229 0.0000
0.0000 0.0000 11.7313
In Ag Te Pt
2 2 6 2
Direct
0.1915 0.8085 0.7500
0.8085 0.1915 0.2500
0.1509 0.8491 0.2500
0.8491 0.1509 0.7500
0.1341 0.8659 0.0115
0.1341 0.8659 0.4885
0.4823 0.5177 0.2500
0.5177 0.4823 0.7500
0.8659 0.1341 0.5115
0.8659 0.1341 0.9885
0.5000 0.5000 0.0000
0.5000 0.5000 0.5000
```

Properties
**Symmetry**: No. 63
**Total DFT energy (no corrections)**: -3.72 eV per atom
**ρ**: 8.49 g/cm3